# AlSnAu3

A geometry-optimized AlSnAu3 structure (PBE, the Alexandria database).

abc: 5.2228 5.2228 5.2228
angles: 90.00 90.00 90.00
Element x y z (fractional)
Al1 0.0000 0.0000 0.0000
Sn1 0.5000 0.5000 0.5000
Au1 0.0000 0.5000 0.5000
Au2 0.5000 0.0000 0.5000
Au3 0.5000 0.5000 0.0000

Calculated values
The value obtained for the formation energy is 0.4831 eV per atom. Its uncorrected energy is -3.032 eV per atom. Its total magnetization is 0.000 μB per atom. As for the density of states at the Fermi level: 0.92 states/eV per cell. Its offset from the most stable computed form is 669 meV/atom.



# Al3SnAu3

A geometry-optimized Al3SnAu3 structure (PBE, the Alexandria database).

abc: 7.0386 7.0386 7.0386
angles: 90.00 90.00 90.00
Element x y z (fractional)
Al1 0.0000 0.2500 0.5000
Al2 0.0000 0.7500 0.5000
Al3 0.2500 0.5000 0.0000
Al4 0.5000 0.0000 0.2500
Al5 0.5000 0.0000 0.7500
Al6 0.7500 0.5000 0.0000
Sn1 0.0000 0.0000 0.0000
Sn2 0.5000 0.5000 0.5000
Au1 0.0000 0.5000 0.2500
Au2 0.0000 0.5000 0.7500
Au3 0.2500 0.0000 0.5000
Au4 0.5000 0.2500 0.0000
Au5 0.5000 0.7500 0.0000
Au6 0.7500 0.0000 0.5000

Calculated values
The value obtained for the formation energy is 0.0449 eV per atom. Its uncorrected energy is -3.535 eV per atom. Its total magnetization is 0.000 μB per atom. As for the density of states at the Fermi level: 5.48 states/eV per cell.



# AlSnAu

A geometry-optimized AlSnAu structure (PBE, the Alexandria database).

abc: 3.4817 3.4817 6.0455
angles: 90.00 90.00 120.00
Element x y z (fractional)
Al1 0.0000 0.0000 0.0000
Sn1 0.3333 0.6667 0.6276
Au1 0.6667 0.3333 0.2703

Calculated values
The value obtained for the formation energy is -0.1336 eV per atom. Its uncorrected energy is -3.808 eV per atom. Its total magnetization is 0.000 μB per atom. As for the density of states at the Fermi level: 0.90 states/eV per cell.



# AlSnAu

A geometry-optimized AlSnAu structure (PBE, the Alexandria database).

abc: 11.2602 11.2602 11.2602
angles: 162.00 162.00 25.56
Element x y z (fractional)
Al1 0.2117 0.2117 0.0000
Al2 0.7883 0.7883 0.0000
Sn1 0.0769 0.0769 0.0000
Sn2 0.9231 0.9231 0.0000
Au1 0.3313 0.3313 0.0000
Au2 0.6687 0.6687 0.0000

Calculated values
The value obtained for the formation energy is -0.1347 eV per atom. Its uncorrected energy is -3.809 eV per atom. Its total magnetization is 0.000 μB per atom. As for the density of states at the Fermi level: 3.02 states/eV per cell.